POsN2F (PBE, optimized geometry); energy above the lowest structure with this stoichiometry = 381 meV per atom; symmetry = No. 123; uncorrected formation energy = 1241 meV per atom; calculated total energy = -28.96 eV/cell
1.0
3.7316 0.0000 0.0000
0.0000 3.7316 0.0000
0.0000 0.0000 3.4868
P Os N F
1 1 2 1
direct
0.0000 0.0000 0.0000 P
0.5000 0.5000 0.5000 Os
0.0000 0.5000 0.0000 N
0.5000 0.0000 0.0000 N
0.0000 0.0000 0.5000 F